Sr2LiSN (PBE-GGA, relaxed); relative energy among the computed polymorphs = 0 meV/atom; VASP energy = -4.637 eV per atom; magnetic moment = 0.00 μB/f.u.
1.0
5.150 0.000 0.000
0.000 5.150 0.000
0.000 0.000 3.973
Sr Li S N
2 1 1 1
Cartesian
0.000 2.575 0.000 Sr
2.575 0.000 0.000 Sr
0.000 0.000 1.986 Li
2.575 2.575 1.986 S
0.000 0.000 0.000 N

Ba2Tl3Pb3 (PBE-GGA, relaxed); ΔH_f (0 K) = -0.304 eV per atom; VASP energy = -3.063 eV per atom; magnetic moment = 0.00 μB/f.u.
1.0
5.113 0.000 0.000
0.000 5.206 0.000
0.000 0.000 10.192
Ba Tl Pb
2 3 3
Cartesian
0.000 0.000 2.545 Ba
0.000 0.000 7.646 Ba
0.000 2.603 0.000 Tl
2.557 2.603 2.568 Tl
2.557 2.603 7.624 Tl
0.000 2.603 5.096 Pb
2.557 0.000 0.000 Pb
2.557 0.000 5.096 Pb

Ag2RuCl (PBE-GGA, relaxed); relative energy among the computed polymorphs = 176 meV/atom; VASP energy = -3.716 eV per atom; magnetic moment = 0.81 μB/f.u.
1.0
-1.428 2.035 6.520
1.428 -2.035 6.520
1.428 2.035 -6.520
Ag Ru Cl
2 1 1
Cartesian
0.000 0.000 2.515 Ag
0.000 0.000 10.524 Ag
1.428 0.000 0.000 Ru
0.000 2.035 0.000 Cl